This record from Alexandria via LeMat-Bulk describes a relaxed structure of CaAlFe2. The functional is PBE-GGA.

```
data_CaAlFe2
_chemical_formula_sum 'Ca1 Al1 Fe2'
_space_group_name_H-M_alt 'P 4/m m m'
_space_group_IT_number 123
_space_group_name_Hall '-P 4 2'
_cell_length_a 3.2630
_cell_length_b 3.2630
_cell_length_c 6.4240
_cell_angle_alpha 90.00
_cell_angle_beta 90.00
_cell_angle_gamma 90.00
loop_
_atom_site_label
_atom_site_type_symbol
_atom_site_fract_x
_atom_site_fract_y
_atom_site_fract_z
Ca1 Ca 0.0000 0.0000 0.0000
Al1 Al 0.0000 0.0000 0.5000
Fe1 Fe 0.5000 0.5000 0.3257
```

DFT formation energy = 0.66 eV/f.u.
mass density = 4.3 Mg/m³

---

This record from Alexandria via LeMat-Bulk describes a relaxed structure of CaAl2Fe. The functional is PBE-GGA.

```
data_CaAl2Fe
_chemical_formula_sum 'Ca2 Al4 Fe2'
_space_group_name_H-M_alt 'C 1 2 1'
_space_group_IT_number 5
_cell_length_a 6.5686
_cell_length_b 6.5451
_cell_length_c 4.5760
_cell_angle_alpha 90.00
_cell_angle_beta 132.49
_cell_angle_gamma 90.00
loop_
_space_group_symop_operation_xyz
'x,y,z'
'-x,y,-z'
'x+1/2,y+1/2,z'
'-x+1/2,y+1/2,-z'
loop_
_atom_site_label
_atom_site_type_symbol
_atom_site_fract_x
_atom_site_fract_y
_atom_site_fract_z
Ca1 Ca 0.0000 0.0000 0.0000
Al1 Al 0.0000 0.2706 0.5000
Al2 Al 0.0000 0.5074 0.0000
Fe1 Fe 0.0000 0.7193 0.5000
```

DFT formation energy = 0.78 eV/f.u.
mass density = 3.4 Mg/m³